*one*
The following is a DFT calculation (PBE) of a relaxed structure of SbPt4.

Cell and atoms, written as POSCAR:
```
SbPt4
1.0
-2.951 2.951 2.951
2.951 -2.951 2.951
2.951 2.951 -2.951
Sb Pt
1 4
direct
0.000 0.000 0.000
0.000 0.000 0.500
0.000 0.500 0.000
0.500 0.000 0.000
0.500 0.500 0.500
```

Values from the calculation:
- Total magnetic moment: 0.0 μB per cell
- SG: Im-3m, No. 229

*two*
The following is a DFT calculation (PBE) of a relaxed structure of SbPt4.

Cell and atoms, written as POSCAR:
```
SbPt4
1.0
4.876 0.000 0.000
0.000 4.876 0.000
0.000 0.000 4.876
Sb Pt
1 4
direct
0.000 0.000 0.000
0.000 0.000 0.500
0.000 0.500 0.000
0.500 0.000 0.000
0.500 0.500 0.500
```

Values from the calculation:
- Total magnetic moment: 0.0 μB per cell
- SG: Pm-3m, No. 221

Result of the stability comparison: *two* is the least stable of them.

*one*
The following is a DFT calculation (PBE) of a relaxed structure of SbPt4.

Cell and atoms, written as POSCAR:
```
SbPt4
1.0
-3.131 3.131 2.150
3.131 -3.131 2.150
3.131 3.131 -2.150
Sb Pt
1 4
direct
0.000 0.000 0.000
0.192 0.393 0.585
0.393 0.808 0.201
0.607 0.192 0.799
0.808 0.607 0.415
```

Values from the calculation:
- Total magnetic moment: 0.0 μB per cell
- SG: I4/m, No. 87

*two*
The following is a DFT calculation (PBE) of a relaxed structure of SbPt4.

Cell and atoms, written as POSCAR:
```
SbPt4
1.0
-1.942 2.836 7.808
1.942 -2.836 7.808
1.942 2.836 -7.808
Sb Pt
2 8
direct
0.360 0.110 0.250
0.640 0.890 0.750
0.000 0.500 0.500
0.157 0.907 0.250
0.177 0.689 0.488
0.298 0.311 0.988
0.500 0.500 0.000
0.702 0.689 0.012
0.823 0.311 0.512
0.843 0.093 0.750
```

Values from the calculation:
- Total magnetic moment: 0.0 μB per cell
- SG: Imma, No. 74

Result of the stability comparison: *one* is the least stable of them.

*one*
The following is a DFT calculation (PBE) of a relaxed structure of ScSb2Pt2.

Cell and atoms, written as POSCAR:
```
ScSb2Pt2
1.0
7.259 0.000 0.000
0.000 7.259 0.000
0.000 0.000 3.936
Sc Sb Pt
2 4 4
direct
0.000 0.000 0.000
0.500 0.500 0.000
0.179 0.321 0.500
0.321 0.821 0.500
0.679 0.179 0.500
0.821 0.679 0.500
0.132 0.632 0.000
0.368 0.132 0.000
0.632 0.868 0.000
0.868 0.368 0.000
```

Values from the calculation:
- Total magnetic moment: 0.0 μB per cell
- SG: P4/mbm, No. 127

*two*
The following is a DFT calculation (PBE) of a relaxed structure of ScSb2Pt2.

Cell and atoms, written as POSCAR:
```
ScSb2Pt2
1.0
-2.124 2.124 6.138
2.124 -2.124 6.138
2.124 2.124 -6.138
Sc Sb Pt
1 2 2
direct
0.000 0.000 0.000
0.250 0.750 0.500
0.750 0.250 0.500
0.394 0.394 0.000
0.606 0.606 0.000
```

Values from the calculation:
- Total magnetic moment: 0.0 μB per cell
- SG: I4/mmm, No. 139

Result of the stability comparison: *two* is the least stable of them.

*one*
The following is a DFT calculation (PBE) of a relaxed structure of ScSb2TePt.

Cell and atoms, written as POSCAR:
```
ScSb2TePt
1.0
5.384 0.000 0.000
0.000 5.384 0.000
0.000 0.000 5.297
Sc Sb Te Pt
1 2 1 1
direct
0.000 0.000 0.000
0.000 0.500 0.000
0.500 0.000 0.000
0.000 0.000 0.500
0.500 0.500 0.500
```

Values from the calculation:
- Total magnetic moment: 0.0 μB per cell
- SG: P4/mmm, No. 123

*two*
The following is a DFT calculation (PBE) of a relaxed structure of ScSb2TePt.

Cell and atoms, written as POSCAR:
```
ScSb2TePt
1.0
5.198 0.000 0.000
0.000 5.198 0.000
0.000 0.000 5.435
Sc Sb Te Pt
1 2 1 1
direct
0.000 0.000 0.000
0.000 0.500 0.500
0.500 0.000 0.500
0.500 0.500 0.000
0.500 0.500 0.500
```

Values from the calculation:
- Total magnetic moment: 0.0 μB per cell
- SG: P4/mmm, No. 123

Result of the stability comparison: *one* is the least stable of them.

*one*
The following is a DFT calculation (PBE) of a relaxed structure of ScSbTe2Pt.

Cell and atoms, written as POSCAR:
```
ScSbTe2Pt
1.0
5.409 0.000 0.000
0.000 5.409 0.000
0.000 0.000 5.084
Sc Sb Te Pt
1 1 2 1
direct
0.000 0.000 0.000
0.500 0.500 0.000
0.000 0.500 0.500
0.500 0.000 0.500
0.500 0.500 0.500
```

Values from the calculation:
- Total magnetic moment: 0.0 μB per cell
- SG: P4/mmm, No. 123

*two*
The following is a DFT calculation (PBE) of a relaxed structure of ScSbTe2Pt.

Cell and atoms, written as POSCAR:
```
ScSbTe2Pt
1.0
5.356 0.000 0.000
0.000 5.356 0.000
0.000 0.000 5.440
Sc Sb Te Pt
1 1 2 1
direct
0.000 0.000 0.000
0.000 0.000 0.500
0.000 0.500 0.000
0.500 0.000 0.000
0.500 0.500 0.500
```

Values from the calculation:
- Total magnetic moment: 0.0 μB per cell
- SG: P4/mmm, No. 123

Result of the stability comparison: *two* is the least stable of them.

*one*
The following is a DFT calculation (PBE) of a relaxed structure of Sb3PtSe.

Cell and atoms, written as POSCAR:
```
Sb3PtSe
1.0
5.264 0.000 0.000
0.000 5.264 0.000
0.000 0.000 5.264
Sb Pt Se
3 1 1
direct
0.000 0.000 0.500
0.000 0.500 0.000
0.500 0.000 0.000
0.000 0.000 0.000
0.500 0.500 0.500
```

Values from the calculation:
- Total magnetic moment: 0.0 μB per cell
- SG: Pm-3m, No. 221

*two*
The following is a DFT calculation (PBE) of a relaxed structure of Sb3PtSe.

Cell and atoms, written as POSCAR:
```
Sb3PtSe
1.0
5.278 0.000 0.000
0.000 5.278 0.000
0.000 0.000 5.278
Sb Pt Se
3 1 1
direct
0.000 0.000 0.500
0.000 0.500 0.000
0.500 0.000 0.000
0.500 0.500 0.500
0.000 0.000 0.000
```

Values from the calculation:
- Total magnetic moment: 0.0 μB per cell
- SG: Pm-3m, No. 221

Result of the stability comparison: *two* is the least stable of them.

*one*
The following is a DFT calculation (PBE) of a relaxed structure of SbPt3Se.

Cell and atoms, written as POSCAR:
```
SbPt3Se
1.0
4.758 0.000 0.000
0.000 4.758 0.000
0.000 0.000 4.758
Sb Pt Se
1 3 1
direct
0.000 0.000 0.000
0.000 0.500 0.500
0.500 0.000 0.500
0.500 0.500 0.000
0.500 0.500 0.500
```

Values from the calculation:
- Total magnetic moment: 0.0 μB per cell
- SG: Pm-3m, No. 221

*two*
The following is a DFT calculation (PBE) of a relaxed structure of SbPt3Se.

Cell and atoms, written as POSCAR:
```
SbPt3Se
1.0
4.965 0.000 0.000
0.000 4.965 0.000
0.000 0.000 4.965
Sb Pt Se
1 3 1
direct
0.000 0.000 0.000
0.000 0.000 0.500
0.000 0.500 0.000
0.500 0.000 0.000
0.500 0.500 0.500
```

Values from the calculation:
- Total magnetic moment: 0.0 μB per cell
- SG: Pm-3m, No. 221

Result of the stability comparison: *two* is the least stable of them.

*one*
The following is a DFT calculation (PBE) of a relaxed structure of SbPtSe3.

Cell and atoms, written as POSCAR:
```
SbPtSe3
1.0
9.352 0.000 0.000
0.000 3.902 0.000
0.000 0.000 13.246
Sb Pt Se
4 4 12
direct
0.001 0.250 0.159
0.499 0.750 0.659
0.501 0.250 0.341
0.999 0.750 0.841
0.162 0.250 0.548
0.338 0.750 0.048
0.662 0.250 0.952
0.838 0.750 0.452
0.004 0.750 0.605
0.172 0.250 0.988
0.195 0.750 0.210
0.305 0.250 0.710
0.328 0.750 0.488
0.496 0.250 0.105
0.504 0.750 0.895
0.672 0.250 0.512
0.695 0.750 0.290
0.805 0.250 0.790
0.828 0.750 0.012
0.996 0.250 0.395
```

Values from the calculation:
- Total magnetic moment: 0.0 μB per cell
- SG: Pnma, No. 62

*two*
The following is a DFT calculation (PBE) of a relaxed structure of SbPtSe3.

Cell and atoms, written as POSCAR:
```
SbPtSe3
1.0
4.968 0.000 0.000
0.000 4.968 0.000
0.000 0.000 4.968
Sb Pt Se
1 1 3
direct
0.000 0.000 0.000
0.500 0.500 0.500
0.000 0.500 0.500
0.500 0.000 0.500
0.500 0.500 0.000
```

Values from the calculation:
- Total magnetic moment: 0.0 μB per cell
- SG: Pm-3m, No. 221

Result of the stability comparison: *two* is the least stable of them.